Entry 1:
{
  "formula": "Dy2Ho3Er6Pu",
  "functional": "PBE-GGA",
  "state": "relaxed",
  "sg": "No. 12",
  "vol_a3_per_fu": 364.4,
  "formation_enthalpy_0k_ev_per_fu": 0.5,
  "lattice": [[6.074, -0.001, -0.007], [-3.036, 5.260, -0.007], [-1.001, -1.734, 11.411]],
  "species": ["Ho", "Ho", "Ho", "Dy", "Dy", "Pu", "Er", "Er", "Er", "Er", "Er", "Er"],
  "frac_coords": [[0.500, 0.500, 0.500], [0.167, 0.833, 0.500], [0.833, 0.167, 0.500], [0.333, 0.667, 0.000], [0.667, 0.333, 0.000], [0.000, 0.000, 0.000], [0.247, 0.247, 0.751], [0.412, 0.083, 0.249], [0.753, 0.753, 0.249], [0.083, 0.412, 0.249], [0.917, 0.588, 0.751], [0.588, 0.917, 0.751]]
}

---

Entry 2:
{
  "formula": "MgPIr2",
  "functional": "PBE-GGA",
  "state": "relaxed",
  "sg": "No. 99",
  "vol_a3_per_fu": 61.0,
  "formation_enthalpy_0k_ev_per_fu": -0.5,
  "lattice": [[3.203, 0.000, 0.000], [0.000, 3.203, 0.000], [0.000, 0.000, 5.946]],
  "species": ["P", "Ir", "Ir", "Mg"],
  "frac_coords": [[0.500, 0.500, 0.813], [0.500, 0.500, 0.241], [0.000, 0.000, 0.952], [0.000, 0.000, 0.494]]
}